{"formula": "Li4MnP2O8", "functional": "GGA+U", "state": "optimized geometry", "cell": [[8.330, 0.000, 0.000], [0.000, 10.494, 0.000], [-2.076, 0.000, 8.003]], "species": ["Li", "Li", "Li", "Li", "Li", "Li", "Li", "Li", "Li", "Li", "Li", "Li", "Li", "Li", "Li", "Li", "Mn", "Mn", "Mn", "Mn", "P", "P", "P", "P", "P", "P", "P", "P", "O", "O", "O", "O", "O", "O", "O", "O", "O", "O", "O", "O", "O", "O", "O", "O", "O", "O", "O", "O", "O", "O", "O", "O", "O", "O", "O", "O", "O", "O", "O", "O"], "fractional_positions": [[0.021, 0.073, 0.272], [0.021, 0.427, 0.772], [0.097, 0.162, 0.599], [0.097, 0.338, 0.099], [0.151, 0.662, 0.653], [0.151, 0.838, 0.153], [0.345, 0.151, 0.349], [0.345, 0.349, 0.849], [0.655, 0.651, 0.151], [0.655, 0.849, 0.651], [0.849, 0.162, 0.847], [0.849, 0.338, 0.347], [0.903, 0.662, 0.901], [0.903, 0.838, 0.401], [0.979, 0.573, 0.228], [0.979, 0.927, 0.728], [0.407, 0.655, 0.405], [0.407, 0.845, 0.905], [0.593, 0.155, 0.095], [0.593, 0.345, 0.595], [0.205, 0.094, 0.975], [0.205, 0.406, 0.475], [0.267, 0.591, 0.029], [0.267, 0.909, 0.529], [0.733, 0.091, 0.471], [0.733, 0.409, 0.971], [0.795, 0.594, 0.525], [0.795, 0.906, 0.025], [0.060, 0.100, 0.815], [0.060, 0.400, 0.315], [0.122, 0.653, 0.091], [0.122, 0.847, 0.591], [0.156, 0.154, 0.127], [0.156, 0.346, 0.627], [0.221, 0.048, 0.476], [0.221, 0.452, 0.976], [0.253, 0.548, 0.513], [0.253, 0.952, 0.013], [0.295, 0.667, 0.877], [0.295, 0.833, 0.377], [0.356, 0.169, 0.941], [0.356, 0.331, 0.441], [0.430, 0.601, 0.172], [0.430, 0.899, 0.672], [0.570, 0.101, 0.328], [0.570, 0.399, 0.828], [0.644, 0.669, 0.559], [0.644, 0.831, 0.059], [0.705, 0.167, 0.623], [0.705, 0.333, 0.123], [0.747, 0.048, 0.987], [0.747, 0.452, 0.487], [0.779, 0.548, 0.024], [0.779, 0.952, 0.524], [0.844, 0.654, 0.373], [0.844, 0.846, 0.873], [0.878, 0.153, 0.409], [0.878, 0.347, 0.909], [0.940, 0.600, 0.685], [0.940, 0.900, 0.185]], "de_polymorph_mev_per_atom": 0}